[1]
PBE LiAcTb2Te4, relaxed; Fermi-level density of states = 2.944 states/eV per cell; space group = P2/m; uncorrected energy = -38.59 eV/cell
1.0
7.676 0.000 0.000
0.000 4.439 0.000
-2.559 0.000 7.455
Li Ac Tb Te
1 1 2 4
direct
0.000 0.000 0.000 Li
0.500 0.500 0.000 Ac
0.000 0.500 0.500 Tb
0.500 0.000 0.500 Tb
0.232 0.000 0.736 Te
0.241 0.500 0.257 Te
0.759 0.500 0.743 Te
0.768 0.000 0.264 Te

[2]
PBE K3CeBr6, relaxed; Fermi-level density of states = 8.132 states/eV per cell; space group = Fm-3m; uncorrected energy = -36.32 eV/cell; energy relative to the lowest polymorph listed for this composition = 91.3 meV/atom
1.0
0.000 6.021 6.021
6.021 0.000 6.021
6.021 6.021 0.000
K Ce Br
3 1 6
direct
0.000 0.000 0.000 K
0.250 0.250 0.250 K
0.750 0.750 0.750 K
0.500 0.500 0.500 Ce
0.260 0.260 0.740 Br
0.260 0.740 0.260 Br
0.260 0.740 0.740 Br
0.740 0.260 0.260 Br
0.740 0.260 0.740 Br
0.740 0.740 0.260 Br

[3]
PBE KCaOs2, relaxed; Fermi-level density of states = 16.686 states/eV per cell; ΔE_f = 1.30 eV per atom; space group = I-42d; uncorrected energy = -81.44 eV/cell; energy relative to the lowest polymorph listed for this composition = 908.0 meV/atom
1.0
4.683 0.000 0.000
0.000 4.683 0.000
0.000 0.000 20.678
K Ca Os
4 4 8
direct
0.000 0.000 0.000 K
0.000 0.500 0.250 K
0.500 0.000 0.750 K
0.500 0.500 0.500 K
0.000 0.000 0.500 Ca
0.000 0.500 0.750 Ca
0.500 0.000 0.250 Ca
0.500 0.500 0.000 Ca
0.062 0.250 0.625 Os
0.250 0.562 0.875 Os
0.250 0.938 0.375 Os
0.438 0.250 0.125 Os
0.562 0.750 0.125 Os
0.750 0.062 0.375 Os
0.750 0.438 0.875 Os
0.938 0.750 0.625 Os

[4]
PBE YHo3Pd4, relaxed; Fermi-level density of states = 3.471 states/eV per cell; ΔE_f = -0.90 eV per atom; space group = P4/mmm; uncorrected energy = -48.17 eV/cell
1.0
4.995 0.000 0.000
0.000 4.995 0.000
0.000 0.000 6.857
Y Ho Pd
1 3 4
direct
0.000 0.000 0.000 Y
0.000 0.000 0.500 Ho
0.500 0.500 0.000 Ho
0.500 0.500 0.500 Ho
0.000 0.500 0.252 Pd
0.000 0.500 0.748 Pd
0.500 0.000 0.252 Pd
0.500 0.000 0.748 Pd